Th2Si4RuPt3 | GGA-PBE | relaxed

volume = 17.802 A^3/atom
N(E_F) = 3.863 states/eV per cell
E_form (uncorrected) = -1.10 eV per atom
magnetization = 0.00 μB per cell
E_tot = -7.4967 eV/atom

Cell lengths 4.2177, 4.2177, 10.0072 Å; angles 90.00, 90.00, 90.00 degrees
With the nearest neighbours (Å) after each atom.
Space group P-4m2 (No. 115)
Symmetry-distinct sites (fractional):
Th1 0.0000 0.5000 0.2485 (multiplicity 2)  8 Si 3.20-3.28, 6 Pt 3.25-3.26, 2 Ru 3.26
Si1 0.0000 0.0000 0.5000 (multiplicity 1)  4 Pt 2.44
Si2 0.0000 0.5000 0.8682 (multiplicity 2)  3 Pt 2.46-2.49, 2 Ru 2.49
Si3 0.5000 0.5000 0.5000 (multiplicity 1)  4 Pt 2.44
Ru1 0.5000 0.5000 0.0000 (multiplicity 1)  4 Si 2.49
Pt1 0.0000 0.0000 0.0000 (multiplicity 1)  4 Si 2.49
Pt2 0.0000 0.5000 0.6220 (multiplicity 2)  5 Si 2.44-2.46

***

ThSiRuPt | GGA-PBE | relaxed

volume = 19.653 A^3/atom
N(E_F) = 4.191 states/eV per cell
E_form (uncorrected) = -1.00 eV per atom
magnetization = 0.00 μB per cell
E_tot = -8.0407 eV/atom

Cell lengths 4.1200, 4.1200, 9.2624 Å; angles 90.00, 90.00, 90.00 degrees
With the nearest neighbours (Å) after each atom.
Space group P4/nmm (No. 129, origin choice 2)
Symmetry-distinct sites (fractional):
Th1 0.2500 0.2500 0.2268 (multiplicity 2)  5 Pt 3.11-3.12, 4 Si 3.21, 4 Ru 3.26
Si1 0.2500 0.2500 0.6268 (multiplicity 2)  4 Ru 2.37, 1 Pt 2.44
Ru1 0.2500 0.7500 0.5000 (multiplicity 2)  4 Si 2.37
Pt1 0.2500 0.2500 0.8904 (multiplicity 2)  1 Si 2.44

***

USi2RuPt | GGA-PBE | relaxed

volume = 16.578 A^3/atom
N(E_F) = 14.344 states/eV per cell
E_form (uncorrected) = -0.72 eV per atom
magnetization = 4.24 μB per cell
E_tot = -8.2121 eV/atom

Cell lengths 4.0404, 4.0404, 10.1553 Å; angles 90.00, 90.00, 90.00 degrees
With the nearest neighbours (Å) after each atom.
Space group I-4m2 (No. 119)
Symmetry-distinct sites (fractional):
U1 0.0000 0.0000 0.0000 (multiplicity 2)  8 Si 3.09, 4 Pt 3.24, 4 Ru 3.24
Si1 0.0000 0.0000 0.3842 (multiplicity 4)  1 Si 2.35, 2 Ru 2.44, 2 Pt 2.44
Ru1 0.0000 0.5000 0.2500 (multiplicity 2)  4 Si 2.44
Pt1 0.0000 0.5000 0.7500 (multiplicity 2)  4 Si 2.44

***

Zr2Si4RuPt3 | GGA-PBE | relaxed

volume = 16.251 A^3/atom
N(E_F) = 3.955 states/eV per cell
E_form (uncorrected) = -0.92 eV per atom
magnetization = 0.00 μB per cell
E_tot = -7.5391 eV/atom

Cell lengths 3.9410, 3.9410, 10.4631 Å; angles 90.00, 90.00, 90.00 degrees
With the nearest neighbours (Å) after each atom.
Space group P-4m2 (No. 115)
Symmetry-distinct sites (fractional):
Zr1 0.0000 0.5000 0.2240 (multiplicity 2)  4 Si 2.94, 2 Ru 3.06, 6 Pt 3.06-3.14
Si1 0.0000 0.0000 0.5000 (multiplicity 1)  4 Pt 2.44
Si2 0.0000 0.5000 0.8645 (multiplicity 2)  3 Pt 2.38-2.43, 2 Ru 2.43
Si3 0.5000 0.5000 0.5000 (multiplicity 1)  4 Pt 2.44
Ru1 0.5000 0.5000 0.0000 (multiplicity 1)  4 Si 2.43
Pt1 0.0000 0.0000 0.0000 (multiplicity 1)  4 Si 2.43
Pt2 0.0000 0.5000 0.6375 (multiplicity 2)  5 Si 2.38-2.44

***

Sm7Ru2Pt2 | GGA-PBE | relaxed

energy of formation from the pure elements = -0.41 eV/atom
volume = 27.142 A^3/atom
N(E_F) = 11.077 states/eV per cell
magnetization = 0.00 μB per cell
E_tot = -6.1983 eV/atom

Cell lengths 7.9068, 10.8730, 6.9457 Å; angles 90.00, 90.00, 90.00 degrees
With the nearest neighbours (Å) after each atom.
Space group Cmmm (No. 65)
Symmetry-distinct sites (fractional):
Sm1 0.0000 0.0000 0.0000 (multiplicity 2)  2 Ru 3.16
Sm2 0.0000 0.5000 0.2547 (multiplicity 4)  2 Ru 2.88, 2 Pt 3.00
Sm3 0.2500 0.2500 0.2674 (multiplicity 8)  2 Ru 2.75
Ru1 0.0000 0.2906 0.0000 (multiplicity 4)  6 Sm 2.75-2.88
Pt1 0.1872 0.0000 0.5000 (multiplicity 4)  1 Pt 2.96, 6 Sm 3.00-3.20

***

Sm12RuPt6 | GGA-PBE | relaxed

energy of formation from the pure elements = -0.76 eV/atom
volume = 29.446 A^3/atom
N(E_F) = 58.212 states/eV per cell
magnetization = 0.00 μB per cell
E_tot = -6.1403 eV/atom

Cell lengths 12.6969, 12.6969, 12.0220 Å; angles 90.00, 90.00, 120.00 degrees
With the nearest neighbours (Å) after each atom.
Space group R-3 (No. 148, hexagonal axes)
Symmetry-distinct sites (fractional):
Sm1 0.0279 0.8112 0.3948 (multiplicity 18)  4 Pt 2.83-3.07
Sm2 0.0437 0.8401 0.8841 (multiplicity 18)  1 Ru 2.74, 2 Pt 2.94-2.96
Ru1 0.0000 0.0000 0.0000 (multiplicity 3)  6 Sm 2.74
Pt1 0.0448 0.7806 0.6463 (multiplicity 18)  6 Sm 2.83-3.07

***

What did the fifth record say?
Sm7Ru2Pt2 | GGA-PBE | relaxed

energy of formation from the pure elements = -0.41 eV/atom
volume = 27.142 A^3/atom
N(E_F) = 11.077 states/eV per cell
magnetization = 0.00 μB per cell
E_tot = -6.1983 eV/atom

Cell lengths 7.9068, 10.8730, 6.9457 Å; angles 90.00, 90.00, 90.00 degrees
With the nearest neighbours (Å) after each atom.
Space group Cmmm (No. 65)
Symmetry-distinct sites (fractional):
Sm1 0.0000 0.0000 0.0000 (multiplicity 2)  2 Ru 3.16
Sm2 0.0000 0.5000 0.2547 (multiplicity 4)  2 Ru 2.88, 2 Pt 3.00
Sm3 0.2500 0.2500 0.2674 (multiplicity 8)  2 Ru 2.75
Ru1 0.0000 0.2906 0.0000 (multiplicity 4)  6 Sm 2.75-2.88
Pt1 0.1872 0.0000 0.5000 (multiplicity 4)  1 Pt 2.96, 6 Sm 3.00-3.20

***

Q: magnetization of number 1 (Th2Si4RuPt3)?
A: 0.00 μB per cell